(1)
Below is crystalline PaInHg2 at its relaxed geometry, with properties calculated at the GGA-PBE level.

The value obtained for the energy relative to the lowest polymorph listed for this composition is 0.060 eV/atom. The energy relative to the elements is 0.326 eV/f.u. Its theoretical density is 12.4 Mg/m³.

The structure belongs to space group P4/mmm (No. 123); the cell edges are 3.681, 3.681 and 7.410 Å and the angles 90.00°, 90.00° and 90.00°. The asymmetric unit holds Pa at (0.000, 0.000, 0.000), In at (0.000, 0.000, 0.500) and Hg at (0.500, 0.500, 0.259).

---

(2)
Below is crystalline CrOsW at its relaxed geometry, with properties calculated at the GGA-PBE level.

The value obtained for the energy relative to the lowest polymorph listed for this composition is 0.000 eV/atom. The energy relative to the elements is 0.473 eV/f.u. Its theoretical density is 16.5 Mg/m³.

The structure belongs to space group I4mm (No. 107); the cell edges are 2.726, 2.726 and 11.526 Å and the angles 90.00°, 90.00° and 90.00°. The asymmetric unit holds Cr at (0.000, 0.000, 0.000), Os at (0.000, 0.000, 0.645) and W at (0.000, 0.000, 0.325).

---

(3)
Below is crystalline ScP2Rh at its relaxed geometry, with properties calculated at the GGA-PBE level.

The value obtained for the energy relative to the lowest polymorph listed for this composition is 0.045 eV/atom. The energy relative to the elements is -3.506 eV/f.u. Its theoretical density is 5.2 Mg/m³.

The structure belongs to space group P2/m (No. 10); the cell edges are 3.953, 3.865 and 4.439 Å and the angles 90.00°, 94.19° and 90.00°. The asymmetric unit holds Sc at (0.000, 0.000, 0.000), P at (0.366, 0.500, 0.770) and Rh at (0.500, 0.000, 0.500).

---

(4)
Below is crystalline OsPt2Cl at its relaxed geometry, with properties calculated at the GGA-PBE level.

The value obtained for the energy relative to the lowest polymorph listed for this composition is 0.529 eV/atom. Its theoretical density is 16.3 Mg/m³.

The structure belongs to space group Cmmm (No. 65); the cell edges are 5.408, 8.430 and 2.758 Å and the angles 90.00°, 90.00° and 90.00°. The asymmetric unit holds Os at (0.000, 0.000, 0.000), Pt at (0.250, 0.250, 0.500) and Cl at (0.000, 0.500, 0.000).

---

(5)
Below is crystalline Tm5Ge2Pd12 at its relaxed geometry, with properties calculated at the GGA-PBE level.

The energy relative to the elements is -13.252 eV/f.u. Its theoretical density is 10.4 Mg/m³.

The structure belongs to space group C2/m (No. 12); the cell edges are 13.551, 7.297 and 9.356 Å and the angles 90.00°, 128.51° and 90.00°. The asymmetric unit holds Tm at (0.000, 0.000, 0.000), Tm at (0.163, 0.500, 0.006), Tm at (0.210, 0.000, 0.477), Ge at (0.000, 0.207, 0.500), Pd at (0.023, 0.500, 0.381), Pd at (0.069, 0.000, 0.771), Pd at (0.084, 0.303, 0.207) and Pd at (0.215, 0.313, 0.765).

---

(6)
Below is crystalline P2S7 at its relaxed geometry, with properties calculated at the GGA-PBE level.

Its theoretical density is 1.8 Mg/m³.

The structure belongs to space group P-1 (No. 2); the cell edges are 6.644, 6.761 and 11.948 Å and the angles 85.71°, 83.12° and 87.10°. The asymmetric unit holds P at (0.164, 0.049, 0.063), P at (0.184, 0.376, 0.510), S at (0.008, 0.645, 0.219), S at (0.115, 0.688, 0.519), S at (0.152, 0.870, 0.924), S at (0.222, 0.858, 0.207), S at (0.236, 0.254, 0.674), S at (0.354, 0.258, 0.052) and S at (0.408, 0.282, 0.407).

---

(7)
Below is crystalline LaMgMn3 at its relaxed geometry, with properties calculated at the GGA-PBE level.

The value obtained for the energy relative to the lowest polymorph listed for this composition is 0.536 eV/atom. The energy relative to the elements is 7.087 eV/f.u. Its theoretical density is 4.5 Mg/m³.

The structure belongs to space group Pm-3m (No. 221); the cell edges are 4.930, 4.930 and 4.930 Å and the angles 90.00°, 90.00° and 90.00°. The asymmetric unit holds La at (0.000, 0.000, 0.000), Mg at (0.500, 0.500, 0.500) and Mn at (0.000, 0.000, 0.500).

---

(8)
Below is crystalline CdPbCl2 at its relaxed geometry, with properties calculated at the GGA-PBE level.

The value obtained for the energy relative to the lowest polymorph listed for this composition is 0.177 eV/atom. Its theoretical density is 6.1 Mg/m³.

The structure belongs to space group Fm-3m (No. 225); the cell edges are 7.512, 7.512 and 7.512 Å and the angles 90.00°, 90.00° and 90.00°. The asymmetric unit holds Cd at (0.000, 0.000, 0.000), Pb at (0.000, 0.000, 0.500) and Cl at (0.250, 0.250, 0.250).

---

Number 1: final energy -3.128 eV per atom, M_tot 1.76 μB per cell. Number 2: final energy -11.111 eV per atom, M_tot 0.00 μB per cell. Number 3: final energy -7.002 eV per atom, M_tot 0.00 μB per cell. Number 4: final energy -5.461 eV per atom, M_tot 0.00 μB per cell. Number 5: final energy -5.640 eV per atom, M_tot 0.00 μB per cell. Number 6: final energy -4.535 eV per atom, M_tot 0.00 μB per cell. Number 7: final energy -5.389 eV per atom, M_tot 9.59 μB per cell. Number 8: final energy -2.602 eV per atom, M_tot 0.00 μB per cell.